Record 1
Here is a geometry-optimized ReTe2Pd structure from Alexandria. Energies are from PBE-GGA.

As for the distance to the lowest polymorph of the same formula: 12 meV per atom. As for the total energy: -44.91 eV/cell. The calculation puts the volume at 27.37 Å³ per atom. The density of states at the Fermi level is 0.73 states/eV/atom. The theoretical density is 8.3 Mg/m³. As for the uncorrected formation energy: 368 meV/atom.

Cell: 6.1300 6.1300 7.2626 Å, 65.04 65.04 90.00°
Element x y z (fractional)
Te1 0.6368 0.1250 0.2500
Te2 0.1132 0.6250 0.2500
Te3 0.8750 0.8868 0.7500
Re1 0.7500 0.2500 0.5000
Te4 0.3750 0.3632 0.7500
Pd1 0.5000 0.5000 0.0000
Pd2 0.2500 0.7500 0.5000
Re2 0.0000 0.0000 0.0000

---

Record 2
Here is a geometry-optimized Mg3CoB structure from Alexandria. Energies are from PBE-GGA.

As for the distance to the lowest polymorph of the same formula: 530 meV per atom. As for the total energy: -12.98 eV/cell. The calculation puts the volume at 20.72 Å³ per atom. The density of states at the Fermi level is 0.48 states/eV/atom. The theoretical density is 2.3 Mg/m³. The formation energy comes out at 1.117 eV/atom.

Cell: 4.6965 4.6965 4.6965 Å, 90.00 90.00 90.00°
Element x y z (fractional)
Co1 0.0000 0.0000 0.0000
B1 0.5000 0.5000 0.5000
Mg1 0.0000 0.0000 0.5000
Mg2 0.0000 0.5000 0.0000
Mg3 0.5000 0.0000 0.0000

---

Record 3
Here is a geometry-optimized Pm4Pd3Ru structure from Alexandria. Energies are from PBE-GGA.

As for the total energy: -49.11 eV/cell. The calculation puts the volume at 23.60 Å³ per atom. The density of states at the Fermi level is 0.65 states/eV/atom. The theoretical density is 8.8 Mg/m³. The formation energy comes out at -0.657 eV/atom.

Cell: 3.7511 4.6653 10.7868 Å, 90.00 90.00 90.00°
Element x y z (fractional)
Pm1 0.5000 0.5000 0.3509
Pd1 0.5000 0.0000 0.9118
Pm2 0.5000 0.0000 0.6351
Ru1 0.5000 0.5000 0.0911
Pm3 0.0000 0.5000 0.8718
Pm4 0.0000 0.0000 0.1370
Pd2 0.0000 0.5000 0.5840
Pd3 0.0000 0.0000 0.4182

---

Record 4
Here is a geometry-optimized SrYEr4Se8 structure from Alexandria. Energies are from PBE-GGA.

As for the total energy: -79.22 eV/cell. The calculation puts the volume at 30.81 Å³ per atom. The density of states at the Fermi level is 0.27 states/eV/atom. The theoretical density is 5.7 Mg/m³. As for the uncorrected formation energy: -1782 meV/atom.

Cell: 8.4696 8.4696 8.4932 Å, 60.09 60.09 60.00°
Element x y z (fractional)
Er1 0.0017 0.0017 0.5020
Er2 0.0017 0.4946 0.5020
Se1 0.7559 0.2284 0.2598
Se2 0.2284 0.7559 0.2598
Se3 0.7559 0.7559 0.2598
Se4 0.7910 0.2381 0.7329
Sr1 0.3742 0.3742 0.8775
Se5 0.7576 0.7576 0.7272
Se6 0.2357 0.2357 0.2930
Er3 0.6252 0.6252 0.1245
Se7 0.2381 0.7910 0.7329
Se8 0.2381 0.2381 0.7329
Er4 0.4946 0.0017 0.5020
Y1 0.0020 0.0020 0.9940

---

Q: Which of these has the lowest theoretical density?
A: Mg3CoB